Model w:
Material: CsTiS2Cl
Method: DFT, PBE
State: optimized geometry

The structure in extended XYZ format:
```
5
Lattice="-2.923 3.276 1.962 -3.769 -2.869 -0.825 0.666 -2.233 4.721" Properties=species:S:1:pos:R:3 pbc="T T T"
S -1.885 -1.434 -0.413
Cs -3.013 -0.913 2.929
Cl 0.333 -1.117 2.361
Ti 0.000 0.000 0.000
S -1.461 1.638 0.981
```

Total magnetic moment ... 0.00 μB/f.u.

Model x:
Material: CsTiS2Cl
Method: DFT, PBE
State: optimized geometry

The structure in extended XYZ format:
```
5
Lattice="-2.802 -3.630 2.875 -2.288 -1.836 -4.548 4.427 -3.926 -0.642" Properties=species:S:1:pos:R:3 pbc="T T T"
S -1.144 -0.918 -2.274
Cl 2.213 -1.963 -0.321
Ti -0.331 -4.696 -1.158
Cs 0.000 0.000 0.000
S -1.401 -1.815 1.437
```

Total magnetic moment ... 2.00 μB/f.u.

Energy above the most stable structure, in kJ/mol of atoms: model w 0.0; model x 206.5